No. 1
Entry from the Alexandria database: a relaxed structure of Pm4SbOs (GGA-PBE).

Properties
- Total energy: -6.202 eV per atom
- SG: C2/c, No. 15
- Formation energy from raw total energies: -0.476 eV per atom
- Magnetization: 0.00 Bohr magnetons per cell

```
data_Pm4SbOs
_cell_length_a 8.243
_cell_length_b 8.243
_cell_length_c 6.314
_cell_angle_alpha 103.29
_cell_angle_beta 103.29
_cell_angle_gamma 113.20
_space_group_name_H-M_alt 'P 1'
_space_group_IT_number 1
loop_
_space_group_symop_operation_xyz
'x,y,z'
loop_
_atom_site_label
_atom_site_fract_x
_atom_site_fract_y
_atom_site_fract_z
Pm1 0.060 0.718 0.931
Pm2 0.213 0.351 0.661
Pm3 0.282 0.940 0.569
Pm4 0.351 0.213 0.161
Pm5 0.649 0.787 0.839
Pm6 0.718 0.060 0.431
Pm7 0.787 0.649 0.339
Pm8 0.940 0.282 0.069
Sb1 0.373 0.627 0.250
Sb2 0.627 0.373 0.750
Os1 0.000 0.000 0.250
Os2 0.000 0.000 0.750
```

***

No. 2
Entry from the Alexandria database: a relaxed structure of Pm2SbOs (GGA-PBE).

Properties
- Total energy: -6.623 eV per atom
- Offset from the most stable computed form: 0 meV/atom
- SG: P4/mmm, No. 123
- Formation energy from raw total energies: -0.410 eV per atom
- Magnetization: 0.00 Bohr magnetons per cell

```
data_Pm2SbOs
_cell_length_a 3.459
_cell_length_b 3.459
_cell_length_c 8.423
_cell_angle_alpha 90.00
_cell_angle_beta 90.00
_cell_angle_gamma 90.00
_space_group_name_H-M_alt 'P 1'
_space_group_IT_number 1
loop_
_space_group_symop_operation_xyz
'x,y,z'
loop_
_atom_site_label
_atom_site_fract_x
_atom_site_fract_y
_atom_site_fract_z
Pm1 0.000 0.000 0.206
Pm2 0.000 0.000 0.794
Sb1 0.500 0.500 0.500
Os1 0.500 0.500 0.000
```